[1]
A geometry-optimized Pm2Sm6Ho3Tm structure. Source: Alexandria, functional PBE.

**E_tot**: -4.653 eV/atom
**ΔE_f**: 0.015 eV/atom

Geometry as CIF:
```
data_Pm2Sm6Ho3Tm
_cell_length_a 6.228
_cell_length_b 6.228
_cell_length_c 11.887
_cell_angle_alpha 95.00
_cell_angle_beta 95.00
_cell_angle_gamma 119.98
_space_group_name_H-M_alt 'P 1'
_space_group_IT_number 1
_space_group_name_Hall 'P 1'
loop_
_atom_site_label
_atom_site_type_symbol
_atom_site_fract_x
_atom_site_fract_y
_atom_site_fract_z
Pm1 Pm 0.333 0.667 0.000
Pm2 Pm 0.667 0.333 0.000
Sm1 Sm 0.916 0.584 0.748
Sm2 Sm 0.752 0.752 0.252
Sm3 Sm 0.084 0.416 0.252
Sm4 Sm 0.584 0.916 0.748
Sm5 Sm 0.248 0.248 0.748
Sm6 Sm 0.416 0.084 0.252
Ho1 Ho 0.166 0.834 0.500
Ho2 Ho 0.834 0.166 0.500
Ho3 Ho 0.500 0.500 0.500
Tm1 Tm 0.000 0.000 0.000
```

[2]
A geometry-optimized Pm2Sm2Ho2Tm structure. Source: Alexandria, functional PBE.

**E_tot**: -4.523 eV/atom
**ΔE_f**: 0.130 eV/atom

Geometry as CIF:
```
data_Pm2Sm2Ho2Tm
_cell_length_a 5.691
_cell_length_b 5.691
_cell_length_c 8.854
_cell_angle_alpha 71.25
_cell_angle_beta 71.25
_cell_angle_gamma 60.00
_space_group_name_H-M_alt 'P 1'
_space_group_IT_number 1
_space_group_name_Hall 'P 1'
loop_
_atom_site_label
_atom_site_type_symbol
_atom_site_fract_x
_atom_site_fract_y
_atom_site_fract_z
Pm1 Pm 0.139 0.139 0.583
Pm2 Pm 0.861 0.861 0.417
Sm1 Sm 0.713 0.713 0.860
Sm2 Sm 0.287 0.287 0.140
Ho1 Ho 0.571 0.571 0.288
Ho2 Ho 0.429 0.429 0.712
Tm1 Tm 0.000 0.000 0.000
```

[3]
A geometry-optimized PmSmHo2Tm structure. Source: Alexandria, functional PBE.

**E_tot**: -4.259 eV/atom
**ΔE_f**: 0.361 eV/atom

Geometry as CIF:
```
data_PmSmHo2Tm
_cell_length_a 6.379
_cell_length_b 6.384
_cell_length_c 8.908
_cell_angle_alpha 111.00
_cell_angle_beta 90.00
_cell_angle_gamma 90.00
_space_group_name_H-M_alt 'P 1'
_space_group_IT_number 1
_space_group_name_Hall 'P 1'
loop_
_atom_site_label
_atom_site_type_symbol
_atom_site_fract_x
_atom_site_fract_y
_atom_site_fract_z
Pm1 Pm 0.250 0.842 0.684
Pm2 Pm 0.750 0.158 0.316
Sm1 Sm 0.250 0.657 0.315
Sm2 Sm 0.750 0.343 0.685
Ho1 Ho 0.500 0.250 0.000
Ho2 Ho 0.000 0.750 0.000
Ho3 Ho 0.500 0.750 0.000
Ho4 Ho 0.000 0.250 0.000
Tm1 Tm 0.750 0.749 0.497
Tm2 Tm 0.250 0.251 0.503
```

[4]
A geometry-optimized PmSmHoTm structure. Source: Alexandria, functional PBE.

**E_tot**: -4.515 eV/atom
**ΔE_f**: 0.115 eV/atom

Geometry as CIF:
```
data_PmSmHoTm
_cell_length_a 5.692
_cell_length_b 5.692
_cell_length_c 5.692
_cell_angle_alpha 60.00
_cell_angle_beta 60.00
_cell_angle_gamma 60.00
_space_group_name_H-M_alt 'P 1'
_space_group_IT_number 1
_space_group_name_Hall 'P 1'
loop_
_atom_site_label
_atom_site_type_symbol
_atom_site_fract_x
_atom_site_fract_y
_atom_site_fract_z
Tm1 Tm 0.500 0.500 0.500
Ho1 Ho 0.000 0.000 0.000
Sm1 Sm 0.250 0.250 0.250
Pm1 Pm 0.750 0.750 0.750
```

[5]
A geometry-optimized Pm2SmHo6Tm structure. Source: Alexandria, functional PBE.

**E_tot**: -4.499 eV/atom
**ΔE_f**: 0.116 eV/atom

Geometry as CIF:
```
data_Pm2SmHo6Tm
_cell_length_a 9.635
_cell_length_b 8.750
_cell_length_c 8.750
_cell_angle_alpha 118.00
_cell_angle_beta 94.38
_cell_angle_gamma 94.38
_space_group_name_H-M_alt 'P 1'
_space_group_IT_number 1
_space_group_name_Hall 'P 1'
loop_
_atom_site_label
_atom_site_type_symbol
_atom_site_fract_x
_atom_site_fract_y
_atom_site_fract_z
Pm1 Pm 0.457 0.804 0.701
Pm2 Pm 0.043 0.299 0.196
Pm3 Pm 0.543 0.196 0.299
Pm4 Pm 0.957 0.701 0.804
Sm1 Sm 0.250 0.981 0.019
Sm2 Sm 0.750 0.019 0.981
Ho1 Ho 0.057 0.124 0.744
Ho2 Ho 0.443 0.256 0.876
Ho3 Ho 0.943 0.876 0.256
Ho4 Ho 0.557 0.744 0.124
Ho5 Ho 0.314 0.981 0.428
Ho6 Ho 0.186 0.572 0.019
Ho7 Ho 0.686 0.019 0.572
Ho8 Ho 0.814 0.428 0.981
Ho9 Ho 0.119 0.707 0.494
Ho10 Ho 0.381 0.506 0.293
Ho11 Ho 0.881 0.293 0.506
Ho12 Ho 0.619 0.494 0.707
Tm1 Tm 0.250 0.408 0.592
Tm2 Tm 0.750 0.592 0.408
```

[6]
A geometry-optimized Pm6SmHoTm2 structure. Source: Alexandria, functional PBE.

**E_tot**: -4.558 eV/atom
**ΔE_f**: 0.116 eV/atom

Geometry as CIF:
```
data_Pm6SmHoTm2
_cell_length_a 9.585
_cell_length_b 8.891
_cell_length_c 8.891
_cell_angle_alpha 117.20
_cell_angle_beta 93.57
_cell_angle_gamma 93.57
_space_group_name_H-M_alt 'P 1'
_space_group_IT_number 1
_space_group_name_Hall 'P 1'
loop_
_atom_site_label
_atom_site_type_symbol
_atom_site_fract_x
_atom_site_fract_y
_atom_site_fract_z
Pm1 Pm 0.055 0.115 0.761
Pm2 Pm 0.445 0.239 0.885
Pm3 Pm 0.945 0.885 0.239
Pm4 Pm 0.555 0.761 0.115
Pm5 Pm 0.315 0.991 0.439
Pm6 Pm 0.185 0.561 0.009
Pm7 Pm 0.685 0.009 0.561
Pm8 Pm 0.815 0.439 0.991
Pm9 Pm 0.118 0.707 0.486
Pm10 Pm 0.382 0.514 0.293
Pm11 Pm 0.882 0.293 0.514
Pm12 Pm 0.618 0.486 0.707
Sm1 Sm 0.250 0.970 0.030
Sm2 Sm 0.750 0.030 0.970
Ho1 Ho 0.250 0.411 0.589
Ho2 Ho 0.750 0.589 0.411
Tm1 Tm 0.452 0.798 0.700
Tm2 Tm 0.048 0.300 0.202
Tm3 Tm 0.548 0.202 0.300
Tm4 Tm 0.952 0.700 0.798
```

[7]
A geometry-optimized PmSm3HoTm structure. Source: Alexandria, functional PBE.

**E_tot**: -4.642 eV/atom
**ΔE_f**: 0.018 eV/atom

Geometry as CIF:
```
data_PmSm3HoTm
_cell_length_a 5.061
_cell_length_b 8.027
_cell_length_c 10.182
_cell_angle_alpha 90.00
_cell_angle_beta 90.00
_cell_angle_gamma 108.38
_space_group_name_H-M_alt 'P 1'
_space_group_IT_number 1
_space_group_name_Hall 'P 1'
loop_
_atom_site_label
_atom_site_type_symbol
_atom_site_fract_x
_atom_site_fract_y
_atom_site_fract_z
Pm1 Pm 0.499 0.998 0.750
Pm2 Pm 0.501 0.002 0.250
Sm1 Sm 0.666 0.332 0.500
Sm2 Sm 0.334 0.668 0.500
Sm3 Sm 0.334 0.668 0.000
Sm4 Sm 0.666 0.332 0.000
Sm5 Sm 0.167 0.335 0.750
Sm6 Sm 0.833 0.665 0.250
Ho1 Ho 0.000 0.000 0.500
Ho2 Ho 0.000 0.000 0.000
Tm1 Tm 0.833 0.667 0.750
Tm2 Tm 0.167 0.333 0.250
```

[8]
A geometry-optimized Pm2SmHo6Tm3 structure. Source: Alexandria, functional PBE.

**E_tot**: -4.571 eV/atom
**ΔE_f**: 0.021 eV/atom

Geometry as CIF:
```
data_Pm2SmHo6Tm3
_cell_length_a 6.140
_cell_length_b 6.140
_cell_length_c 11.730
_cell_angle_alpha 95.00
_cell_angle_beta 95.00
_cell_angle_gamma 119.95
_space_group_name_H-M_alt 'P 1'
_space_group_IT_number 1
_space_group_name_Hall 'P 1'
loop_
_atom_site_label
_atom_site_type_symbol
_atom_site_fract_x
_atom_site_fract_y
_atom_site_fract_z
Pm1 Pm 0.333 0.667 0.000
Pm2 Pm 0.667 0.333 0.000
Sm1 Sm 0.000 0.000 0.000
Ho1 Ho 0.914 0.581 0.746
Ho2 Ho 0.752 0.752 0.254
Ho3 Ho 0.086 0.419 0.254
Ho4 Ho 0.581 0.914 0.746
Ho5 Ho 0.248 0.248 0.746
Ho6 Ho 0.419 0.086 0.254
Tm1 Tm 0.167 0.833 0.500
Tm2 Tm 0.833 0.167 0.500
Tm3 Tm 0.500 0.500 0.500
```

[9]
A geometry-optimized Pm3Sm2YHo6 structure. Source: Alexandria, functional PBE.

**E_tot**: -4.786 eV/atom
**ΔE_f**: 0.016 eV/atom

Geometry as CIF:
```
data_Pm3Sm2YHo6
_cell_length_a 6.203
_cell_length_b 6.203
_cell_length_c 11.810
_cell_angle_alpha 95.00
_cell_angle_beta 95.00
_cell_angle_gamma 119.97
_space_group_name_H-M_alt 'P 1'
_space_group_IT_number 1
_space_group_name_Hall 'P 1'
loop_
_atom_site_label
_atom_site_type_symbol
_atom_site_fract_x
_atom_site_fract_y
_atom_site_fract_z
Pm1 Pm 0.167 0.833 0.500
Pm2 Pm 0.833 0.167 0.500
Pm3 Pm 0.500 0.500 0.500
Sm1 Sm 0.333 0.667 0.000
Sm2 Sm 0.667 0.333 0.000
Y1 Y 0.000 0.000 0.000
Ho1 Ho 0.917 0.583 0.751
Ho2 Ho 0.750 0.750 0.249
Ho3 Ho 0.083 0.417 0.249
Ho4 Ho 0.583 0.917 0.751
Ho5 Ho 0.250 0.250 0.751
Ho6 Ho 0.417 0.083 0.249
```

[10]
A geometry-optimized PmSm2Y6Ho structure. Source: Alexandria, functional PBE.

**E_tot**: -5.637 eV/atom
**ΔE_f**: 0.118 eV/atom

Geometry as CIF:
```
data_PmSm2Y6Ho
_cell_length_a 9.828
_cell_length_b 8.782
_cell_length_c 8.782
_cell_angle_alpha 117.59
_cell_angle_beta 95.22
_cell_angle_gamma 95.22
_space_group_name_H-M_alt 'P 1'
_space_group_IT_number 1
_space_group_name_Hall 'P 1'
loop_
_atom_site_label
_atom_site_type_symbol
_atom_site_fract_x
_atom_site_fract_y
_atom_site_fract_z
Pm1 Pm 0.250 0.405 0.595
Pm2 Pm 0.750 0.595 0.405
Sm1 Sm 0.456 0.810 0.711
Sm2 Sm 0.044 0.289 0.190
Sm3 Sm 0.544 0.190 0.289
Sm4 Sm 0.956 0.711 0.810
Y1 Y 0.056 0.122 0.747
Y2 Y 0.444 0.253 0.878
Y3 Y 0.944 0.878 0.253
Y4 Y 0.556 0.747 0.122
Y5 Y 0.316 0.976 0.422
Y6 Y 0.184 0.578 0.024
Y7 Y 0.684 0.024 0.578
Y8 Y 0.816 0.422 0.976
Y9 Y 0.120 0.705 0.499
Y10 Y 0.380 0.501 0.295
Y11 Y 0.880 0.295 0.501
Y12 Y 0.620 0.499 0.705
Ho1 Ho 0.250 0.981 0.019
Ho2 Ho 0.750 0.019 0.981
```

[11]
A geometry-optimized PmSmYHo2 structure. Source: Alexandria, functional PBE.

**E_tot**: -4.629 eV/atom
**ΔE_f**: 0.389 eV/atom

Geometry as CIF:
```
data_PmSmYHo2
_cell_length_a 7.183
_cell_length_b 8.380
_cell_length_c 7.129
_cell_angle_alpha 126.00
_cell_angle_beta 90.00
_cell_angle_gamma 90.00
_space_group_name_H-M_alt 'P 1'
_space_group_IT_number 1
_space_group_name_Hall 'P 1'
loop_
_atom_site_label
_atom_site_type_symbol
_atom_site_fract_x
_atom_site_fract_y
_atom_site_fract_z
Pm1 Pm 0.250 0.986 0.973
Pm2 Pm 0.750 0.014 0.027
Sm1 Sm 0.250 0.720 0.440
Sm2 Sm 0.750 0.280 0.560
Y1 Y 0.750 0.730 0.459
Y2 Y 0.250 0.270 0.541
Ho1 Ho 0.500 0.312 0.000
Ho2 Ho 0.000 0.688 0.000
Ho3 Ho 0.500 0.688 0.000
Ho4 Ho 0.000 0.312 0.000
```

[12]
A geometry-optimized PmSm3YHo structure. Source: Alexandria, functional PBE.

**E_tot**: -4.801 eV/atom
**ΔE_f**: 0.191 eV/atom

Geometry as CIF:
```
data_PmSm3YHo
_cell_length_a 5.568
_cell_length_b 11.419
_cell_length_c 6.795
_cell_angle_alpha 82.16
_cell_angle_beta 90.00
_cell_angle_gamma 104.11
_space_group_name_H-M_alt 'P 1'
_space_group_IT_number 1
_space_group_name_Hall 'P 1'
loop_
_atom_site_label
_atom_site_type_symbol
_atom_site_fract_x
_atom_site_fract_y
_atom_site_fract_z
Pm1 Pm 0.368 0.737 0.974
Pm2 Pm 0.632 0.263 0.026
Sm1 Sm 0.835 0.671 0.275
Sm2 Sm 0.774 0.549 0.813
Sm3 Sm 0.476 0.952 0.269
Sm4 Sm 0.226 0.451 0.187
Sm5 Sm 0.524 0.048 0.731
Sm6 Sm 0.165 0.329 0.725
Y1 Y 0.666 0.331 0.469
Y2 Y 0.334 0.669 0.531
Ho1 Ho 0.071 0.142 0.327
Ho2 Ho 0.929 0.858 0.673
```